Np2AsH | PBE | optimized geometry

Cell: 3.449 3.449 6.275 Å, 90.00 90.00 90.00°
Site moments in Bohr magnetons follow the coordinates.
Atoms (fractional coordinates):
Np (0.000, 0.000, 0.263)  4.47
Np (0.000, 0.000, 0.737)  4.47
As (0.500, 0.500, 0.000)  -0.14
H (0.500, 0.500, 0.500)  -0.04

## Properties
SG ... P4/mmm, No. 123
Raw total energy ... -8.488 eV per atom

***

Cs2CrSnBr6 | PBE | optimized geometry

Cell: 7.937 7.937 7.942 Å, 60.02 60.02 90.00°
Site moments in Bohr magnetons follow the coordinates.
Atoms (fractional coordinates):
Cs (0.250, 0.750, 0.500)  0.00
Sn (0.000, 0.000, 0.000)  0.04
Br (0.263, 0.263, 0.000)  -0.01
Br (0.737, 0.737, 0.000)  -0.01
Br (0.263, 0.263, 0.474)  -0.01
Br (0.737, 0.737, 0.526)  -0.01
Cs (0.750, 0.250, 0.500)  0.00
Cr (0.500, 0.500, 0.000)  3.62
Br (0.737, 0.263, 0.000)  -0.01
Br (0.263, 0.737, 0.000)  -0.01

## Properties
Formation energy (no corrections) ... -1160 meV per atom
SG ... Fm-3m, No. 225

***

KSrMg2Ni | PBE | optimized geometry

Cell: 5.264 5.264 5.591 Å, 90.00 90.00 90.00°
Atoms (fractional coordinates):
Ni (0.000, 0.000, 0.000)
Mg (0.000, 0.500, 0.000)
Mg (0.500, 0.000, 0.000)
Sr (0.000, 0.000, 0.500)
K (0.500, 0.500, 0.500)

## Properties
SG ... P4/mmm, No. 123
Energy of formation ... 35 kJ/mol of formula units

***

Sm8Ho4Th | PBE | optimized geometry

Cell: 7.349 7.350 10.287 Å, 90.01 110.93 120.01°
Atoms (fractional coordinates):
Ho (0.500, 0.500, 0.000)
Sm (0.047, 0.247, 0.295)
Sm (0.953, 0.753, 0.705)
Ho (0.000, 0.000, 0.000)
Ho (0.500, 0.000, 0.000)
Sm (0.953, 0.200, 0.705)
Sm (0.047, 0.800, 0.295)
Sm (0.569, 0.785, 0.354)
Ho (0.000, 0.500, 0.000)
Th (0.000, 0.500, 0.500)
Sm (0.506, 0.753, 0.706)
Sm (0.494, 0.247, 0.294)
Sm (0.431, 0.215, 0.646)

## Properties
SG ... R-3m, No. 166
Energy of formation ... 292 kJ/mol of formula units

***

CeSnRu2 | PBE | optimized geometry

Cell: 3.604 4.527 4.527 Å, 90.00 90.00 90.00°
Atoms (fractional coordinates):
Ru (0.000, 0.000, 0.500)
Sn (0.500, 0.000, 0.000)
Ce (0.500, 0.500, 0.500)
Ru (0.000, 0.500, 0.000)

## Properties
SG ... P4/mmm, No. 123
Energy of formation ... -159 kJ/mol of formula units

***

PmNd4Y3S8 | PBE | optimized geometry

Cell: 7.989 8.052 7.990 Å, 119.75 120.00 90.00°
Atoms (fractional coordinates):
S (0.751, 0.262, 0.010)
Nd (0.500, 0.000, 0.000)
S (0.255, 0.265, 0.510)
Pm (0.000, 0.500, 0.000)
S (0.745, 0.735, 0.490)
Y (0.500, 0.500, 0.000)
S (0.751, 0.262, 0.502)
Nd (0.000, 0.000, 0.000)
Y (0.000, 0.500, 0.500)
Y (0.500, 0.500, 0.500)
Nd (0.000, 0.000, 0.500)
S (0.249, 0.738, 0.990)
S (0.249, 0.738, 0.498)
Nd (0.500, 0.000, 0.500)
S (0.741, 0.738, 0.990)
S (0.259, 0.262, 0.010)

## Properties
Formation energy (no corrections) ... -2014 meV per atom
SG ... R-3m, No. 166

***

Nd5HoEr2Tm | PBE | optimized geometry

Cell: 5.628 10.565 10.680 Å, 90.00 90.00 105.45°
Atoms (fractional coordinates):
Nd (0.279, 0.559, 0.314)
Nd (0.516, 0.032, 0.244)
Nd (0.016, 0.032, 0.016)
Nd (0.617, 0.235, 0.520)
Nd (0.721, 0.441, 0.814)
Er (0.113, 0.225, 0.740)
Nd (0.383, 0.765, 0.020)
Nd (0.298, 0.595, 0.708)
Ho (0.407, 0.815, 0.464)
Nd (0.702, 0.405, 0.208)
Nd (0.484, 0.968, 0.744)
Er (0.887, 0.775, 0.240)
Nd (0.984, 0.968, 0.516)
Tm (0.802, 0.604, 0.511)
Er (0.886, 0.772, 0.807)
Ho (0.593, 0.185, 0.964)
Er (0.114, 0.228, 0.307)
Tm (0.198, 0.396, 0.011)

## Properties
SG ... Cmc2_1, No. 36
Energy of formation ... 125 kJ/mol of formula units

***

Tb2Ho3Th3 | PBE | optimized geometry

Cell: 5.035 5.002 10.715 Å, 103.50 103.59 90.00°
Atoms (fractional coordinates):
Ho (0.124, 0.124, 0.248)
Tb (0.250, 0.750, 0.500)
Ho (0.876, 0.876, 0.752)
Th (0.500, 0.000, 0.000)
Th (0.624, 0.624, 0.247)
Tb (0.750, 0.250, 0.500)
Ho (0.000, 0.500, 0.000)
Th (0.376, 0.376, 0.753)

## Properties
SG ... Immm, No. 71
Energy of formation ... 32 kJ/mol of formula units

***

La2ZnO4 | PBE | optimized geometry

Cell: 3.844 11.191 11.431 Å, 90.00 90.00 90.00°
Atoms (fractional coordinates):
Zn (0.750, 0.114, 0.684)
La (0.750, 0.093, 0.113)
La (0.250, 0.301, 0.900)
Zn (0.250, 0.886, 0.316)
O (0.750, 0.242, 0.277)
O (0.250, 0.758, 0.723)
La (0.750, 0.407, 0.613)
O (0.750, 0.258, 0.777)
O (0.750, 0.177, 0.529)
O (0.250, 0.462, 0.749)
O (0.250, 0.823, 0.471)
La (0.750, 0.699, 0.100)
La (0.250, 0.907, 0.887)
O (0.750, 0.962, 0.751)
La (0.750, 0.801, 0.600)
O (0.250, 0.105, 0.983)
Zn (0.250, 0.614, 0.816)
O (0.750, 0.538, 0.251)
La (0.250, 0.593, 0.387)
O (0.750, 0.895, 0.017)
O (0.250, 0.677, 0.971)
O (0.750, 0.323, 0.029)
Zn (0.750, 0.386, 0.184)
O (0.750, 0.605, 0.517)
La (0.250, 0.199, 0.400)
O (0.250, 0.742, 0.223)
O (0.250, 0.038, 0.249)
O (0.250, 0.395, 0.483)

## Properties
Formation energy (no corrections) ... -2852 meV per atom
SG ... Pnma, No. 62

***

SrTc2Ag | PBE | optimized geometry

Cell: 2.790 4.627 6.535 Å, 90.00 90.00 90.00°
Atoms (fractional coordinates):
Tc (0.000, 0.000, 0.079)
Tc (0.000, 0.000, 0.421)
Sr (0.500, 0.500, 0.750)
Ag (0.500, 0.500, 0.250)

## Properties
SG ... Pmmm, No. 47
Energy of formation ... 308 kJ/mol of formula units

***

HfMg2GeN4 | PBE | optimized geometry

Cell: 5.261 5.889 6.746 Å, 90.00 90.00 90.00°
Atoms (fractional coordinates):
Mg (0.490, 0.334, 0.749)
N (0.395, 0.681, 0.736)
N (0.883, 0.866, 0.000)
Hf (0.492, 0.844, 0.000)
N (0.395, 0.681, 0.264)
N (0.383, 0.134, 0.500)
Mg (0.990, 0.666, 0.249)
Ge (0.999, 0.172, 0.000)
N (0.857, 0.832, 0.500)
Mg (0.990, 0.666, 0.751)
N (0.895, 0.319, 0.764)
N (0.895, 0.319, 0.236)
N (0.357, 0.168, 0.000)
Ge (0.499, 0.828, 0.500)
Hf (0.992, 0.156, 0.500)
Mg (0.490, 0.334, 0.251)

## Properties
Formation energy (no corrections) ... -932 meV per atom
SG ... Pmn2_1, No. 31

***

Ba3UPd2O9 | PBE | optimized geometry

Cell: 5.937 5.937 7.400 Å, 90.00 90.00 120.00°
Atoms (fractional coordinates):
Pd (0.667, 0.333, 0.834)
O (0.500, 0.000, 0.000)
O (0.837, 0.674, 0.666)
O (0.163, 0.326, 0.334)
Ba (0.667, 0.333, 0.294)
U (0.000, 0.000, 0.500)
Ba (0.000, 0.000, 0.000)
O (0.326, 0.163, 0.666)
O (0.000, 0.500, 0.000)
Ba (0.333, 0.667, 0.706)
Pd (0.333, 0.667, 0.166)
O (0.837, 0.163, 0.666)
O (0.500, 0.500, 0.000)
O (0.163, 0.837, 0.334)
O (0.674, 0.837, 0.334)

## Properties
Formation energy (no corrections) ... -2128 meV per atom
SG ... P-3m1, No. 164

***

Ho8CdIn2 | PBE | optimized geometry

Cell: 5.154 7.117 9.200 Å, 100.41 106.27 90.00°
Atoms (fractional coordinates):
Ho (0.593, 0.450, 0.185)
Ho (0.030, 0.749, 0.061)
Ho (0.336, 0.064, 0.671)
Cd (0.500, 0.000, 0.000)
Ho (0.407, 0.550, 0.815)
Ho (0.821, 0.739, 0.643)
Ho (0.970, 0.251, 0.939)
In (0.792, 0.293, 0.585)
Ho (0.664, 0.936, 0.329)
Ho (0.179, 0.261, 0.357)
In (0.208, 0.707, 0.415)

## Properties
SG ... C2/m, No. 12
Energy of formation ... -193 kJ/mol of formula units

***

Ho2Er2Se3S2 | PBE | optimized geometry

Cell: 5.514 5.514 7.992 Å, 110.18 110.18 90.00°
Atoms (fractional coordinates):
Se (0.000, 0.000, 0.000)
Se (0.250, 0.750, 0.500)
Se (0.750, 0.250, 0.500)
Ho (0.212, 0.212, 0.424)
Er (0.500, 0.000, 0.000)
S (0.599, 0.599, 0.198)
Ho (0.788, 0.788, 0.576)
S (0.401, 0.401, 0.802)
Er (0.000, 0.500, 0.000)

## Properties
Formation energy (no corrections) ... -1546 meV per atom
SG ... I4/mmm, No. 139

***

ScAlW2 | PBE | optimized geometry

Cell: 4.670 2.807 5.267 Å, 80.94 90.00 90.00°
Atoms (fractional coordinates):
W (0.000, 0.458, 0.508)
Al (0.500, 0.250, 0.250)
Sc (0.500, 0.750, 0.750)
W (0.000, 0.042, 0.992)

## Properties
SG ... P2/m, No. 10
Energy of formation ... 37 kJ/mol of formula units

***

HfBeZn2 | PBE | optimized geometry

Cell: 3.897 3.897 5.134 Å, 67.69 67.69 60.00°
Atoms (fractional coordinates):
Hf (0.000, 0.000, 0.000)
Zn (0.786, 0.786, 0.641)
Be (0.500, 0.500, 0.500)
Zn (0.214, 0.214, 0.359)

## Properties
SG ... R-3m, No. 166
Energy of formation ... 3 kJ/mol of formula units

***

Pr7Nd2Y | PBE | optimized geometry

Cell: 5.565 9.648 9.648 Å, 125.37 90.00 90.00°
Atoms (fractional coordinates):
Pr (0.000, 0.784, 0.216)
Pr (0.500, 0.708, 0.929)
Pr (0.500, 0.500, 0.500)
Nd (0.500, 0.705, 0.295)
Pr (0.000, 0.216, 0.784)
Pr (0.500, 0.071, 0.292)
Nd (0.500, 0.295, 0.705)
Y (0.000, 0.000, 0.000)
Pr (0.500, 0.929, 0.708)
Pr (0.500, 0.292, 0.071)

## Properties
SG ... Cmmm, No. 65
Energy of formation ... 582 kJ/mol of formula units

***

CuReHg2 | PBE | optimized geometry

Cell: 5.051 5.051 2.867 Å, 90.01 90.01 108.72°
Atoms (fractional coordinates):
Cu (0.000, 0.500, 0.500)
Hg (0.000, 0.000, 0.000)
Hg (0.500, 0.500, 0.000)
Re (0.500, 0.000, 0.500)

## Properties
SG ... Cmmm, No. 65
Energy of formation ... 249 kJ/mol of formula units

***

CaPmPa2N4 | PBE | optimized geometry

Cell: 4.993 4.993 6.113 Å, 114.11 114.11 90.00°
Atoms (fractional coordinates):
Pa (0.000, 0.000, 0.000)
Pa (0.250, 0.750, 0.500)
N (0.768, 0.768, 0.535)
N (0.232, 0.232, 0.465)
N (0.483, 0.983, 0.966)
Ca (0.500, 0.500, 0.000)
Pm (0.750, 0.250, 0.500)
N (0.017, 0.517, 0.034)

## Properties
Formation energy (no corrections) ... -1479 meV per atom
SG ... I-4m2, No. 119

***

Co3RuS | PBE | optimized geometry

Cell: 4.492 4.492 4.492 Å, 90.00 90.00 90.00°
Site moments in Bohr magnetons follow the coordinates.
Atoms (fractional coordinates):
Ru (0.000, 0.000, 0.000)  0.55
Co (0.000, 0.500, 0.000)  1.63
Co (0.500, 0.000, 0.000)  1.37
S (0.500, 0.500, 0.500)  0.10
Co (0.000, 0.000, 0.500)  1.93

## Properties
Formation energy (no corrections) ... 1604 meV per atom
SG ... Pm-3m, No. 221

***

KY2Fe | PBE | optimized geometry

Cell: 6.536 6.536 6.536 Å, 147.90 121.22 68.56°
Site moments in Bohr magnetons follow the coordinates.
Atoms (fractional coordinates):
K (0.250, 0.750, 0.500)  -0.01
Fe (0.750, 0.250, 0.500)  1.83
Y (0.568, 0.568, 0.000)  -0.27
Y (0.932, 0.932, 0.000)  -0.27

## Properties
SG ... Immm, No. 71
Energy of formation ... 209 kJ/mol of formula units

***

ZrGa3Hg | PBE | optimized geometry

Cell: 5.024 5.024 5.024 Å, 90.00 90.00 90.00°
Atoms (fractional coordinates):
Zr (0.500, 0.500, 0.500)
Ga (0.500, 0.000, 0.000)
Ga (0.000, 0.500, 0.000)
Ga (0.000, 0.000, 0.500)
Hg (0.000, 0.000, 0.000)

## Properties
SG ... Pm-3m, No. 221
Energy of formation ... 360 kJ/mol of formula units

***

TlRu2C | PBE | optimized geometry

Cell: 4.344 4.344 4.344 Å, 60.00 60.00 60.00°
Atoms (fractional coordinates):
Tl (0.500, 0.500, 0.500)
C (0.000, 0.000, 0.000)
Ru (0.750, 0.750, 0.750)
Ru (0.250, 0.250, 0.250)

## Properties
SG ... Fm-3m, No. 225
Energy of formation ... 648 kJ/mol of formula units